The following is a PBE-GGA calculation of an optimized crystal structure of TmRhS, from Alexandria via LeMat-Bulk.

Calculated values
* crystal system: hexagonal
* E_form (uncorrected): -0.85 eV/f.u.
* M_tot: 0.00 μB per cell
* raw total energy: -100.82 eV per cell

The structure in POSCAR format:
```
TmRhS
1.0
6.219 0.000 0.000
-3.110 5.386 0.000
0.000 0.000 11.546
Tm Rh S
6 6 6
Direct
0.000 0.500 0.389
0.000 0.500 0.944
0.500 0.000 0.277
0.500 0.000 0.723
0.500 0.500 0.056
0.500 0.500 0.611
0.233 0.617 0.167
0.383 0.617 0.833
0.383 0.767 0.500
0.617 0.233 0.500
0.617 0.383 0.833
0.767 0.383 0.167
0.000 0.000 0.167
0.000 0.000 0.500
0.000 0.000 0.833
0.000 0.500 0.667
0.500 0.000 0.000
0.500 0.500 0.333
```